[1]
This record from the Alexandria database describes a relaxed CoPt2Au crystal. The functional is PBE.

Cell: 5.1914 5.1914 5.1914 Å, 144.57 129.60 63.11°
Fractional positions:
Co 0.0000 0.0000 0.0000
Pt 0.2264 0.7264 0.5000
Pt 0.4889 0.4889 0.0000
Au 0.7566 0.2566 0.5000

Total DFT energy (no corrections) in eV/atom: -5.44
D(E_F) in states/eV per atom: 1.47
Energy of formation from the pure elements in meV/atom: 174


[2]
This record from the Alexandria database describes a relaxed CoPt2Au crystal. The functional is PBE.

Cell: 4.7895 4.7895 4.8428 Å, 100.48 100.48 34.15°
Fractional positions:
Co 0.0000 0.0000 0.0000
Pt 0.4925 0.4925 0.4779
Pt 0.7390 0.7390 0.2244
Au 0.2507 0.2507 0.7406

Total DFT energy (no corrections) in eV/atom: -5.55
D(E_F) in states/eV per atom: 1.03
Energy of formation from the pure elements in meV/atom: 71


[3]
This record from the Alexandria database describes a relaxed CoPtAu2 crystal. The functional is PBE.

Cell: 4.8689 4.8689 4.8984 Å, 100.11 100.11 33.78°
Fractional positions:
Co 0.0000 0.0000 0.0000
Pt 0.5000 0.5000 0.5000
Au 0.2563 0.2563 0.7569
Au 0.7437 0.7437 0.2431

Total DFT energy (no corrections) in eV/atom: -4.77
D(E_F) in states/eV per atom: 0.96
Energy of formation from the pure elements in meV/atom: 153
Energy above the lowest structure with this stoichiometry in meV per atom: 111


[4]
This record from the Alexandria database describes a relaxed Sc2CoPtAu crystal. The functional is PBE.

Cell: 4.9377 4.9377 5.0661 Å, 90.00 90.00 90.00°
Fractional positions:
Sc 0.0000 0.5000 0.0000
Sc 0.5000 0.0000 0.0000
Co 0.0000 0.0000 0.5000
Pt 0.5000 0.5000 0.0000
Au 0.5000 0.5000 0.5000

Total DFT energy (no corrections) in eV/atom: -5.49
D(E_F) in states/eV per atom: 0.83
Energy of formation from the pure elements in meV/atom: 323


[5]
This record from the Alexandria database describes a relaxed CoSnPt2Au crystal. The functional is PBE.

Cell: 4.6324 4.6324 4.8039 Å, 90.00 90.00 90.00°
Fractional positions:
Co 0.0000 0.0000 0.0000
Sn 0.5000 0.5000 0.5000
Pt 0.0000 0.5000 0.0000
Pt 0.5000 0.0000 0.0000
Au 0.0000 0.0000 0.5000

Total DFT energy (no corrections) in eV/atom: -4.71
D(E_F) in states/eV per atom: 0.89
Energy of formation from the pure elements in meV/atom: 580


[6]
This record from the Alexandria database describes a relaxed Ta2CoPtAu crystal. The functional is PBE.

Cell: 4.4697 4.4697 4.6394 Å, 90.00 90.00 90.00°
Fractional positions:
Ta 0.0000 0.5000 0.0000
Ta 0.5000 0.0000 0.0000
Co 0.0000 0.0000 0.0000
Pt 0.0000 0.0000 0.5000
Au 0.5000 0.5000 0.5000

Total DFT energy (no corrections) in eV/atom: -7.42
D(E_F) in states/eV per atom: 0.85
Energy of formation from the pure elements in meV/atom: 604